LiGa2Ni4 | PBE-GGA | optimized geometry

Structure (extended XYZ):
```
7
Lattice="3.8432 0.0000 0.0000 0.0000 3.8432 0.0000 1.9216 1.9216 6.1441" Properties=species:S:1:pos:R:3 pbc="T T T"
Ni 1.9216 1.9216 3.9615
Ni 3.8432 3.8432 2.1827
Ni 0.0000 1.9216 0.0000
Ni 1.9216 0.0000 0.0000
Ga 1.9216 1.9216 1.6190
Ga 3.8432 3.8432 4.5251
Li 0.0000 0.0000 0.0000
```

Computed properties:
As for the symmetry: No. 139. The formation energy is 27.1 kJ/mol of atoms. The calculation puts the magnetic moment at 0.00 Bohr magnetons per cell. The density comes out at 7.0 g cm⁻³. As for the total energy: -29.13 eV for the cell shown.